[1]
# PC

A relaxed structure of PC (PBE, Alexandria via LeMat-Bulk). Values from VASP.

Summary:
Magnetic moment: 0.00 μB per formula unit
DOS at the Fermi energy: 0.87 states/eV per cell
Distance to the lowest polymorph of the same formula: 0.36 eV/f.u.
ΔH_f (0 K): 0.49 eV per atom
SG: Cmmm

```
&SYSTEM
  ibrav = 0, nat = 4, ntyp = 2
/
ATOMIC_SPECIES
P 30.97 P.upf
C 12.01 C.upf
ATOMIC_POSITIONS crystal
P 0.205 0.795 0.000
P 0.795 0.205 0.000
C 0.000 0.000 0.320
C 0.000 0.000 0.680
CELL_PARAMETERS angstrom
2.494 -3.286 0.000
2.494 3.286 0.000
0.000 0.000 3.781
```

[2]
# CsBiAs2Pt4

A relaxed structure of CsBiAs2Pt4 (PBE, Alexandria via LeMat-Bulk). Values from VASP.

Summary:
Magnetic moment: 0.00 μB per formula unit
DOS at the Fermi energy: 6.09 states/eV per cell
ΔH_f (0 K): -0.34 eV per atom
SG: P4/mmm

```
&SYSTEM
  ibrav = 0, nat = 8, ntyp = 4
/
ATOMIC_SPECIES
Cs 132.91 Cs.upf
Bi 208.98 Bi.upf
As 74.92 As.upf
Pt 195.08 Pt.upf
ATOMIC_POSITIONS crystal
Cs 0.000 0.000 0.000
Bi 0.000 0.000 0.500
As 0.500 0.500 0.204
As 0.500 0.500 0.796
Pt 0.000 0.500 0.318
Pt 0.000 0.500 0.682
Pt 0.500 0.000 0.318
Pt 0.500 0.000 0.682
CELL_PARAMETERS angstrom
4.184 0.000 0.000
0.000 4.184 0.000
0.000 0.000 11.263
```

[3]
# InAgO3

A relaxed structure of InAgO3 (PBE, Alexandria via LeMat-Bulk). Values from VASP.

Summary:
Magnetic moment: 2.00 μB per formula unit
DOS at the Fermi energy: 6.05 states/eV per cell
Raw formation energy: -0.18 eV per atom
SG: Pm-3m

```
&SYSTEM
  ibrav = 0, nat = 5, ntyp = 3
/
ATOMIC_SPECIES
In 114.82 In.upf
Ag 107.87 Ag.upf
O 16.00 O.upf
ATOMIC_POSITIONS crystal
In 0.000 0.000 0.000
Ag 0.500 0.500 0.500
O 0.000 0.000 0.500
O 0.000 0.500 0.000
O 0.500 0.000 0.000
CELL_PARAMETERS angstrom
4.221 0.000 0.000
0.000 4.221 0.000
0.000 0.000 4.221
```

[4]
# AsRh2Se

A relaxed structure of AsRh2Se (PBE, Alexandria via LeMat-Bulk). Values from VASP.

Summary:
Magnetic moment: 0.00 μB per formula unit
DOS at the Fermi energy: 4.40 states/eV per cell
Distance to the lowest polymorph of the same formula: 1.16 eV/f.u.
Raw formation energy: -0.08 eV per atom
SG: P2/m

```
&SYSTEM
  ibrav = 0, nat = 4, ntyp = 3
/
ATOMIC_SPECIES
As 74.92 As.upf
Rh 102.91 Rh.upf
Se 78.96 Se.upf
ATOMIC_POSITIONS crystal
As 0.000 0.000 0.000
Rh 0.499 0.500 0.775
Rh 0.501 0.500 0.225
Se 0.000 0.000 0.500
CELL_PARAMETERS angstrom
3.130 0.000 0.000
0.000 3.101 0.000
-0.035 0.000 6.444
```

[5]
# InPd4Pt3

A relaxed structure of InPd4Pt3 (PBE, Alexandria via LeMat-Bulk). Values from VASP.

Summary:
Magnetic moment: 0.00 μB per formula unit
DOS at the Fermi energy: 12.42 states/eV per cell
Distance to the lowest polymorph of the same formula: 0.00 eV/f.u.
ΔH_f (0 K): -0.22 eV per atom
SG: C2/m

```
&SYSTEM
  ibrav = 0, nat = 8, ntyp = 3
/
ATOMIC_SPECIES
In 114.82 In.upf
Pd 106.42 Pd.upf
Pt 195.08 Pt.upf
ATOMIC_POSITIONS crystal
In 0.000 0.000 0.000
Pd 0.249 0.249 0.376
Pd 0.250 0.250 0.872
Pd 0.750 0.750 0.128
Pd 0.751 0.751 0.624
Pt 0.000 0.000 0.500
Pt 0.499 0.499 0.255
Pt 0.501 0.501 0.745
CELL_PARAMETERS angstrom
4.418 -2.021 0.000
4.418 2.021 0.000
-3.720 0.000 7.157
```

[6]
# K2TiF5

A relaxed structure of K2TiF5 (PBE, Alexandria via LeMat-Bulk). Values from VASP.

Summary:
Magnetic moment: 1.00 μB per formula unit
DOS at the Fermi energy: 17.98 states/eV per cell
Raw formation energy: -3.12 eV per atom
SG: Pnma

```
&SYSTEM
  ibrav = 0, nat = 32, ntyp = 3
/
ATOMIC_SPECIES
K 39.10 K.upf
Ti 47.87 Ti.upf
F 19.00 F.upf
ATOMIC_POSITIONS crystal
K 0.006 0.250 0.232
K 0.149 0.750 0.416
K 0.351 0.250 0.916
K 0.494 0.750 0.732
K 0.506 0.250 0.268
K 0.649 0.750 0.084
K 0.851 0.250 0.584
K 0.994 0.750 0.768
Ti 0.167 0.750 0.058
Ti 0.333 0.250 0.558
Ti 0.667 0.750 0.442
Ti 0.833 0.250 0.942
F 0.000 0.000 0.000
F 0.000 0.500 0.000
F 0.036 0.750 0.199
F 0.171 0.008 0.608
F 0.171 0.492 0.608
F 0.228 0.250 0.403
F 0.272 0.750 0.903
F 0.329 0.508 0.108
F 0.329 0.992 0.108
F 0.464 0.250 0.699
F 0.500 0.000 0.500
F 0.500 0.500 0.500
F 0.536 0.750 0.301
F 0.671 0.008 0.892
F 0.671 0.492 0.892
F 0.728 0.250 0.097
F 0.772 0.750 0.597
F 0.829 0.508 0.392
F 0.829 0.992 0.392
F 0.964 0.250 0.801
CELL_PARAMETERS angstrom
7.647 0.000 0.000
0.000 5.789 0.000
0.000 0.000 11.815
```

[7]
# PmDyNi2As2

A relaxed structure of PmDyNi2As2 (PBE, Alexandria via LeMat-Bulk). Values from VASP.

Summary:
Magnetic moment: 0.00 μB per formula unit
DOS at the Fermi energy: 2.82 states/eV per cell
ΔH_f (0 K): -1.05 eV per atom
SG: P-3m1

```
&SYSTEM
  ibrav = 0, nat = 6, ntyp = 4
/
ATOMIC_SPECIES
Pm 145.00 Pm.upf
Dy 162.50 Dy.upf
Ni 58.69 Ni.upf
As 74.92 As.upf
ATOMIC_POSITIONS crystal
Pm 0.000 0.000 0.000
Dy 0.000 0.000 0.500
Ni 0.333 0.667 0.743
Ni 0.667 0.333 0.257
As 0.333 0.667 0.257
As 0.667 0.333 0.743
CELL_PARAMETERS angstrom
4.079 0.000 0.000
-2.039 3.532 0.000
0.000 0.000 7.882
```

[8]
# FeHgAu2

A relaxed structure of FeHgAu2 (PBE, Alexandria via LeMat-Bulk). Values from VASP.

Summary:
Magnetic moment: 2.97 μB per formula unit
DOS at the Fermi energy: 2.07 states/eV per cell
ΔH_f (0 K): 0.21 eV per atom
SG: Pmm2

```
&SYSTEM
  ibrav = 0, nat = 4, ntyp = 3
/
ATOMIC_SPECIES
Fe 55.84 Fe.upf
Hg 200.59 Hg.upf
Au 196.97 Au.upf
ATOMIC_POSITIONS crystal
Fe 0.000 0.000 0.000
Hg 0.500 0.500 0.253
Au 0.000 0.000 0.533
Au 0.500 0.500 0.796
CELL_PARAMETERS angstrom
2.980 0.000 0.000
0.000 3.666 0.000
0.000 0.000 6.492
```